(1)
DFT (PBE) results for a geometry-optimized KZn14 structure.

CIF file:
```
data_KZn14
_cell_length_a 8.0236
_cell_length_b 8.0236
_cell_length_c 13.9769
_cell_angle_alpha 90.00
_cell_angle_beta 90.00
_cell_angle_gamma 120.00
_symmetry_space_group_name_H-M 'R -3 m'
_symmetry_Int_Tables_number 166
_symmetry_space_group_name_Hall '-R 3 2"'
loop_
_atom_site_label
_atom_site_type_symbol
_atom_site_fract_x
_atom_site_fract_y
_atom_site_fract_z
K1 K 0.0000 0.0000 0.0000
Zn1 Zn 0.0000 0.0000 0.2097
Zn2 Zn 0.0000 0.3369 0.5000
Zn3 Zn 0.1087 0.5544 0.3152
```

Crystal system: trigonal

(2)
DFT (PBE) results for a geometry-optimized TlFe3Bi5 structure.

CIF file:
```
data_TlFe3Bi5
_cell_length_a 5.5376
_cell_length_b 5.5376
_cell_length_c 8.6447
_cell_angle_alpha 90.00
_cell_angle_beta 90.00
_cell_angle_gamma 120.00
_symmetry_space_group_name_H-M 'P 6/m m m'
_symmetry_Int_Tables_number 191
_symmetry_space_group_name_Hall '-P 6 2'
loop_
_atom_site_label
_atom_site_type_symbol
_atom_site_fract_x
_atom_site_fract_y
_atom_site_fract_z
Tl1 Tl 0.0000 0.0000 0.0000
Fe1 Fe 0.0000 0.5000 0.5000
Bi1 Bi 0.0000 0.0000 0.5000
Bi2 Bi 0.3333 0.6667 0.2291
```

Crystal system: hexagonal

(3)
DFT (PBE) results for a geometry-optimized RbZnBP2O8 structure.

CIF file:
```
data_RbZnBP2O8
_cell_length_a 7.369
_cell_length_b 7.545
_cell_length_c 7.784
_cell_angle_alpha 61.04
_cell_angle_beta 64.61
_cell_angle_gamma 76.45
_symmetry_space_group_name_H-M 'P -1'
_symmetry_Int_Tables_number 2
_symmetry_space_group_name_Hall '-P 1'
loop_
_atom_site_label
_atom_site_type_symbol
_atom_site_fract_x
_atom_site_fract_y
_atom_site_fract_z
Rb1 Rb 0.227 0.245 0.415
Zn1 Zn 0.305 0.553 0.744
B1 B 0.197 0.011 0.073
P1 P 0.054 0.690 0.090
P2 P 0.465 0.839 0.279
O1 O 0.044 0.179 0.080
O2 O 0.088 0.824 0.175
O3 O 0.093 0.470 0.713
O4 O 0.250 0.593 0.990
O5 O 0.300 0.996 0.204
O6 O 0.331 0.048 0.856
O7 O 0.416 0.808 0.503
O8 O 0.473 0.650 0.254
```

Crystal system: triclinic

(4)
DFT (PBE) results for a geometry-optimized LaGd2Sn3Pb4 structure.

CIF file:
```
data_LaGd2Sn3Pb4
_cell_length_a 4.664
_cell_length_b 25.800
_cell_length_c 4.730
_cell_angle_alpha 90.00
_cell_angle_beta 90.00
_cell_angle_gamma 90.00
_symmetry_space_group_name_H-M 'C m m m'
_symmetry_Int_Tables_number 65
_symmetry_space_group_name_Hall '-C 2 2'
loop_
_atom_site_label
_atom_site_type_symbol
_atom_site_fract_x
_atom_site_fract_y
_atom_site_fract_z
La1 La 0.000 0.000 0.000
Gd1 Gd 0.000 0.191 0.000
Sn1 Sn 0.000 0.291 0.500
Sn2 Sn 0.000 0.500 0.500
Pb1 Pb 0.000 0.100 0.500
Pb2 Pb 0.000 0.401 0.000
```

Crystal system: orthorhombic

(5)
DFT (PBE) results for a geometry-optimized GaTcPO structure.

CIF file:
```
data_GaTcPO
_cell_length_a 3.868
_cell_length_b 3.868
_cell_length_c 7.338
_cell_angle_alpha 90.00
_cell_angle_beta 90.00
_cell_angle_gamma 90.00
_symmetry_space_group_name_H-M 'P 4/n m m'
_symmetry_Int_Tables_number 129
loop_
_symmetry_equiv_pos_as_xyz
'x,y,z'
'-x,-y,-z'
'-y+1/2,x,z'
'y+1/2,-x,-z'
'-x+1/2,-y+1/2,z'
'x+1/2,y+1/2,-z'
'y,-x+1/2,z'
'-y,x+1/2,-z'
'x+1/2,-y,-z'
'-x+1/2,y,z'
'-y,-x,-z'
'y,x,z'
'-x,y+1/2,-z'
'x,-y+1/2,z'
'y+1/2,x+1/2,-z'
'-y+1/2,-x+1/2,z'
loop_
_atom_site_label
_atom_site_type_symbol
_atom_site_fract_x
_atom_site_fract_y
_atom_site_fract_z
Ga1 Ga 0.250 0.250 0.105
Tc1 Tc 0.250 0.750 0.500
P1 P 0.250 0.250 0.690
O1 O 0.250 0.750 0.000
```

Crystal system: tetragonal

(6)
DFT (PBE) results for a geometry-optimized HfCuPd structure.

CIF file:
```
data_HfCuPd
_cell_length_a 6.148
_cell_length_b 6.148
_cell_length_c 6.148
_cell_angle_alpha 90.00
_cell_angle_beta 90.00
_cell_angle_gamma 90.00
_symmetry_space_group_name_H-M 'F -4 3 m'
_symmetry_Int_Tables_number 216
_symmetry_space_group_name_Hall 'F -4 2 3'
loop_
_atom_site_label
_atom_site_type_symbol
_atom_site_fract_x
_atom_site_fract_y
_atom_site_fract_z
Hf1 Hf 0.000 0.000 0.000
Cu1 Cu 0.250 0.250 0.750
Pd1 Pd 0.250 0.250 0.250
```

Crystal system: cubic
ΔE_f: 0.229 eV/f.u.

(7)
DFT (PBE) results for a geometry-optimized GaCo4C2S structure.

CIF file:
```
data_GaCo4C2S
_cell_length_a 2.9612
_cell_length_b 2.9612
_cell_length_c 11.0263
_cell_angle_alpha 90.00
_cell_angle_beta 90.00
_cell_angle_gamma 120.00
_symmetry_space_group_name_H-M 'P -6 m 2'
_symmetry_Int_Tables_number 187
_symmetry_space_group_name_Hall 'P -6 2'
loop_
_atom_site_label
_atom_site_type_symbol
_atom_site_fract_x
_atom_site_fract_y
_atom_site_fract_z
Ga1 Ga 0.0000 0.0000 0.0000
Co1 Co 0.0000 0.0000 0.3457
Co2 Co 0.6667 0.3333 0.1771
C1 C 0.3333 0.6667 0.2558
S1 S 0.6667 0.3333 0.5000
```

Crystal system: hexagonal

(8)
DFT (PBE) results for a geometry-optimized TmScCu2Pb2 structure.

CIF file:
```
data_TmScCu2Pb2
_cell_length_a 4.5346
_cell_length_b 4.5346
_cell_length_c 7.1316
_cell_angle_alpha 90.00
_cell_angle_beta 90.00
_cell_angle_gamma 120.00
_symmetry_space_group_name_H-M 'P 3 m 1'
_symmetry_Int_Tables_number 156
_symmetry_space_group_name_Hall 'P 3 -2"'
loop_
_atom_site_label
_atom_site_type_symbol
_atom_site_fract_x
_atom_site_fract_y
_atom_site_fract_z
Tm1 Tm 0.0000 0.0000 0.0000
Sc1 Sc 0.0000 0.0000 0.4992
Cu1 Cu 0.3333 0.6667 0.8264
Cu2 Cu 0.6667 0.3333 0.3334
Pb1 Pb 0.3333 0.6667 0.2379
Pb2 Pb 0.6667 0.3333 0.7235
```

Crystal system: trigonal

(9)
DFT (PBE) results for a geometry-optimized SnB4W structure.

CIF file:
```
data_SnB4W
_cell_length_a 3.052
_cell_length_b 5.424
_cell_length_c 7.330
_cell_angle_alpha 90.00
_cell_angle_beta 90.00
_cell_angle_gamma 90.00
_symmetry_space_group_name_H-M 'I m m m'
_symmetry_Int_Tables_number 71
_symmetry_space_group_name_Hall '-I 2 2'
loop_
_atom_site_label
_atom_site_type_symbol
_atom_site_fract_x
_atom_site_fract_y
_atom_site_fract_z
Sn1 Sn 0.000 0.000 0.000
B1 B 0.000 0.337 0.248
W1 W 0.000 0.000 0.500
```

Crystal system: orthorhombic

(10)
DFT (PBE) results for a geometry-optimized Rb2PdI3Cl structure.

CIF file:
```
data_Rb2PdI3Cl
_cell_length_a 4.766
_cell_length_b 10.812
_cell_length_c 11.856
_cell_angle_alpha 90.00
_cell_angle_beta 90.00
_cell_angle_gamma 90.00
_symmetry_space_group_name_H-M 'A m m 2'
_symmetry_Int_Tables_number 38
_symmetry_space_group_name_Hall 'A 2 -2'
loop_
_atom_site_label
_atom_site_type_symbol
_atom_site_fract_x
_atom_site_fract_y
_atom_site_fract_z
Rb1 Rb 0.000 0.223 0.000
Pd1 Pd 0.500 0.000 0.249
I1 I 0.500 0.000 0.469
I2 I 0.500 0.245 0.249
Cl1 Cl 0.500 0.000 0.046
```

Crystal system: orthorhombic

(11)
DFT (PBE) results for a geometry-optimized Dy3ZnCd2PdPt2 structure.

CIF file:
```
data_Dy3ZnCd2PdPt2
_cell_length_a 3.853
_cell_length_b 12.994
_cell_length_c 7.554
_cell_angle_alpha 90.00
_cell_angle_beta 90.00
_cell_angle_gamma 90.00
_symmetry_space_group_name_H-M 'A m m 2'
_symmetry_Int_Tables_number 38
_symmetry_space_group_name_Hall 'A 2 -2'
loop_
_atom_site_label
_atom_site_type_symbol
_atom_site_fract_x
_atom_site_fract_y
_atom_site_fract_z
Dy1 Dy 0.000 0.000 0.000
Dy2 Dy 0.000 0.201 0.371
Zn1 Zn 0.500 0.000 0.314
Cd1 Cd 0.500 0.123 0.707
Pd1 Pd 0.000 0.000 0.546
Pt1 Pt 0.500 0.166 0.082
```

Crystal system: orthorhombic
ΔE_f: -7.853 eV/f.u.

(12)
DFT (PBE) results for a geometry-optimized CsTmF3 structure.

CIF file:
```
data_CsTmF3
_cell_length_a 6.1820
_cell_length_b 6.1820
_cell_length_c 5.4177
_cell_angle_alpha 90.00
_cell_angle_beta 90.00
_cell_angle_gamma 120.00
_symmetry_space_group_name_H-M 'P 63/m m c'
_symmetry_Int_Tables_number 194
_symmetry_space_group_name_Hall '-P 6c 2c'
loop_
_atom_site_label
_atom_site_type_symbol
_atom_site_fract_x
_atom_site_fract_y
_atom_site_fract_z
Cs1 Cs 0.3333 0.6667 0.2500
Tm1 Tm 0.0000 0.0000 0.0000
F1 F 0.1665 0.3330 0.7500
```

Crystal system: hexagonal

Number 1: E -1.175 eV/atom. Number 2: E -5.109 eV/atom. Number 3: E -6.779 eV/atom. Number 4: E -4.599 eV/atom. Number 5: E -6.474 eV/atom. Number 6: E -6.206 eV/atom. Number 7: E -6.627 eV/atom. Number 8: E -4.605 eV/atom. Number 9: E -6.823 eV/atom. Number 10: E -3.006 eV/atom. Number 11: E -4.667 eV/atom. Number 12: E -5.057 eV/atom.